This record from the Alexandria database describes Li2SnTeSe4 after structural relaxation. The functional is GGA-PBE.

Calculated values
Mass density ... 4.25 Mg/m³
E ... -3.6583 eV per atom
Formation energy without anion corrections ... -0.545 eV per atom
Symmetry ... No. 1
Magnetization ... 0.00 Bohr magnetons per cell

Unit cell a=5.624 b=5.831 c=7.294 alpha=109.26 beta=92.12 gamma=93.39
Atoms (fractional coordinates):
Li1 0.000 0.000 0.000
Li2 0.419 0.348 0.515
Sn1 0.503 0.493 0.994
Te1 0.032 0.699 0.473
Se1 0.181 0.196 0.768
Se2 0.280 0.856 0.228
Se3 0.678 0.715 0.776
Se4 0.744 0.326 0.235